Record 1
The following is a DFT calculation (SCAN) of BaSrRe2 at its PBEsol-relaxed geometry.

a b c (Å): 3.7680 5.4123 6.3862
angles (deg): 115.07 107.16 90.00
Element x y z (fractional)
Ba (0.2717, 0.7717, 0.5433)
Re (0.0551, 0.0551, 0.1103)
Re (0.6835, 0.1835, 0.3669)
Sr (0.4897, 0.4897, 0.9794)

Space group = Imm2

Record 2
The following is a DFT calculation (SCAN) of BaSrRe2 at its PBEsol-relaxed geometry.

a b c (Å): 4.9921 4.9921 4.9921
angles (deg): 60.00 60.00 60.00
Element x y z (fractional)
Ba (0.2500, 0.2500, 0.2500)
Re (0.0000, 0.0000, 0.0000)
Re (0.7500, 0.7500, 0.7500)
Sr (0.5000, 0.5000, 0.5000)

Space group = F-43m

Record 3
The following is a DFT calculation (SCAN) of BaSr2Re at its PBEsol-relaxed geometry.

a b c (Å): 5.5214 5.5214 5.5214
angles (deg): 60.00 60.00 60.00
Element x y z (fractional)
Ba (0.5000, 0.5000, 0.5000)
Re (0.2500, 0.2500, 0.2500)
Sr (0.0000, 0.0000, 0.0000)
Sr (0.7500, 0.7500, 0.7500)

Space group = F-43m

Record 4
The following is a DFT calculation (SCAN) of BaSrRe2 at its PBEsol-relaxed geometry.

a b c (Å): 2.9725 2.9725 11.4136
angles (deg): 82.52 82.52 60.00
Element x y z (fractional)
Ba (0.0000, 0.0000, 0.0000)
Re (0.2463, 0.2463, 0.2610)
Re (0.7537, 0.7537, 0.7390)
Sr (0.5000, 0.5000, 0.5000)

Space group = R-3m

Record 5
The following is a DFT calculation (SCAN) of BaSrRe2 at its PBEsol-relaxed geometry.

a b c (Å): 2.8408 2.8408 10.8515
angles (deg): 90.00 90.00 90.33
Element x y z (fractional)
Ba (0.5000, 0.5000, 0.0000)
Re (0.0000, 0.0000, 0.2611)
Re (0.0000, 0.0000, 0.7389)
Sr (0.5000, 0.5000, 0.5000)

Space group = Cmmm

Record 6
The following is a DFT calculation (SCAN) of BaSrRe at its PBEsol-relaxed geometry.

a b c (Å): 5.1861 5.1861 5.1861
angles (deg): 60.00 60.00 60.00
Element x y z (fractional)
Ba (0.5000, 0.5000, 0.5000)
Re (0.2500, 0.2500, 0.2500)
Sr (0.0000, 0.0000, 0.0000)

Space group = F-43m

Record 7
The following is a DFT calculation (SCAN) of BaSr2Re at its PBEsol-relaxed geometry.

a b c (Å): 5.1198 5.8723 5.1198
angles (deg): 64.16 90.00 115.84
Element x y z (fractional)
Ba (0.5000, 0.0000, 0.5000)
Re (0.0000, 0.0000, 0.0000)
Sr (0.2500, 0.5000, 0.2500)
Sr (0.7500, 0.5000, 0.7500)

Space group = I4/mmm

Record 8
The following is a DFT calculation (SCAN) of BaSrRe2 at its PBEsol-relaxed geometry.

a b c (Å): 2.8634 5.6553 6.0913
angles (deg): 62.34 87.28 84.12
Element x y z (fractional)
Ba (0.5000, 0.5000, 0.0000)
Re (0.0000, 0.5000, 0.5000)
Re (0.0000, 0.0000, 0.5000)
Sr (0.5000, 0.0000, 0.0000)

Space group = C2/m

Record 9
The following is a DFT calculation (SCAN) of Ba2TaRe at its PBEsol-relaxed geometry.

a b c (Å): 4.1767 4.1767 6.3805
angles (deg): 109.11 109.11 90.00
Element x y z (fractional)
Re (0.5000, 0.5000, 0.0000)
Ba (0.7500, 0.2500, 0.5000)
Ba (0.2500, 0.7500, 0.5000)
Ta (0.0000, 0.0000, 0.0000)

Space group = I4/mmm

Record 10
The following is a DFT calculation (SCAN) of Ba2TaRe at its PBEsol-relaxed geometry.

a b c (Å): 2.9656 5.6365 5.9127
angles (deg): 90.00 90.00 90.00
Element x y z (fractional)
Re (0.5000, 0.5000, 0.0000)
Ba (0.0000, 0.0000, 0.7519)
Ba (0.0000, 0.0000, 0.2481)
Ta (0.5000, 0.5000, 0.5000)

Space group = Pmmm

Record 11
The following is a DFT calculation (SCAN) of Ba4TaRe at its PBEsol-relaxed geometry.

a b c (Å): 6.5637 6.5637 6.5637
angles (deg): 60.00 60.00 60.00
Element x y z (fractional)
Ba (0.3752, 0.3752, 0.3752)
Ba (0.3752, 0.3752, 0.8744)
Ba (0.8744, 0.3752, 0.3752)
Ba (0.3752, 0.8744, 0.3752)
Re (0.7500, 0.7500, 0.7500)
Ta (0.0000, 0.0000, 0.0000)

Space group = F-43m

Record 12
The following is a DFT calculation (SCAN) of BaRe2Tc at its PBEsol-relaxed geometry.

a b c (Å): 2.8801 2.8801 9.0033
angles (deg): 90.00 90.00 90.00
Element x y z (fractional)
Ba (0.5000, 0.5000, 0.5000)
Re (0.0000, 0.0000, 0.8085)
Re (0.0000, 0.0000, 0.1915)
Tc (0.5000, 0.5000, 0.0000)

Space group = P4/mmm

How do the records compare in total magnetic moment? In the order shown, they have 0.000 0.363 0.325 0.000 0.000 0.457 0.206 0.000 0.000 0.000 0.251 0.000 μB per atom.
How do the records compare in calculated total energy? In the order shown, they have -50.33 -49.42 -37.69 -49.26 -49.47 -42.98 -37.72 -49.46 -52.72 -52.64 -47.38 -53.27 eV per atom.
How do the records compare in energy relative to the elements? In the order shown, they have 0.67 1.58 1.11 1.75 1.53 1.33 1.08 1.55 1.48 1.55 1.94 0.93 eV per atom.